A plane-wave DFT calculation with PBE-GGA was carried out for a relaxed structure of Fe2TcAs.

Cell lengths 3.050, 4.086, 4.169 Å; angles 90.00, 90.00, 90.00 degrees
Space group Pmmm (No. 47)
One atom of each set of equivalent atoms:
Fe 0.000 0.000 0.000 (multiplicity 1)
Fe 0.500 0.500 0.000 (multiplicity 1)
Tc 0.000 0.500 0.500 (multiplicity 1)
As 0.500 0.000 0.500 (multiplicity 1)

Summary:
total magnetic moment = 4.033 μB per cell
D(E_F) = 1.038 states/eV/atom
formation energy = 0.074 eV/atom
excess energy over the best structure of this formula in the dataset = 35 meV/atom



A plane-wave DFT calculation with PBE-GGA was carried out for a relaxed structure of Na3Er3NpS8.

Cell lengths 7.9205, 7.9205, 20.1348 Å; angles 90.00, 90.00, 120.00 degrees
Space group R-3m (No. 166, hexagonal axes)
One atom of each set of equivalent atoms:
Na 0.0000 0.5000 0.0000 (multiplicity 9)
Er 0.0000 0.5000 0.5000 (multiplicity 9)
Np 0.0000 0.0000 0.5000 (multiplicity 3)
S 0.0000 0.0000 0.2414 (multiplicity 6)
S 0.0031 0.5016 0.2397 (multiplicity 18)

Summary:
total magnetic moment = 9.000 μB per cell
D(E_F) = 0.285 states/eV/atom
formation energy (no corrections) = -39.654 kcal/mol of atoms



A plane-wave DFT calculation with PBE-GGA was carried out for a relaxed structure of LaZn2W.

Cell lengths 4.229, 4.229, 4.422 Å; angles 90.00, 90.00, 90.00 degrees
Space group P4/mmm (No. 123)
One atom of each set of equivalent atoms:
La 0.000 0.000 0.000 (multiplicity 1)
Zn 0.000 0.500 0.500 (multiplicity 2)
W 0.500 0.500 0.000 (multiplicity 1)

Summary:
total magnetic moment = 0.209 μB per cell
D(E_F) = 0.831 states/eV/atom
formation energy = 0.515 eV/atom
excess energy over the best structure of this formula in the dataset = 271 meV/atom



A plane-wave DFT calculation with PBE-GGA was carried out for a relaxed structure of BaRu3O.

Cell lengths 5.122, 5.122, 5.122 Å; angles 90.00, 90.00, 90.00 degrees
Space group Pm-3m (No. 221)
One atom of each set of equivalent atoms:
Ba 0.000 0.000 0.000 (multiplicity 1)
Ru 0.000 0.000 0.500 (multiplicity 3)
O 0.500 0.500 0.500 (multiplicity 1)

Summary:
total magnetic moment = 6.805 μB per cell
D(E_F) = 1.580 states/eV/atom
formation energy (no corrections) = 70.765 kcal/mol of atoms
excess energy over the best structure of this formula in the dataset = 2419 meV/atom



A plane-wave DFT calculation with PBE-GGA was carried out for a relaxed structure of La4NCl2O.

Cell lengths 6.515, 3.774, 7.362 Å; angles 90.00, 107.19, 90.00 degrees
Space group P2/m (No. 10)
One atom of each set of equivalent atoms:
La 0.229 0.000 0.194 (multiplicity 2)
La 0.265 0.500 0.806 (multiplicity 2)
N 0.000 0.500 0.000 (multiplicity 1)
Cl 0.000 0.000 0.500 (multiplicity 1)
Cl 0.500 0.500 0.500 (multiplicity 1)
O 0.500 0.000 0.000 (multiplicity 1)

Summary:
total magnetic moment = 0.000 μB per cell
D(E_F) = 0.629 states/eV/atom
formation energy (no corrections) = -43.792 kcal/mol of atoms



A plane-wave DFT calculation with PBE-GGA was carried out for a relaxed structure of Hf3BrCl.

Cell lengths 4.812, 4.812, 4.812 Å; angles 90.00, 90.00, 90.00 degrees
Space group Pm-3m (No. 221)
One atom of each set of equivalent atoms:
Hf 0.000 0.000 0.500 (multiplicity 3)
Br 0.500 0.500 0.500 (multiplicity 1)
Cl 0.000 0.000 0.000 (multiplicity 1)

Summary:
total magnetic moment = 0.000 μB per cell
D(E_F) = 0.867 states/eV/atom
formation energy (no corrections) = 12.753 kcal/mol of atoms
excess energy over the best structure of this formula in the dataset = 0 meV/atom



A plane-wave DFT calculation with PBE-GGA was carried out for a relaxed structure of CsSr3.

Cell lengths 10.010, 10.010, 10.010 Å; angles 90.00, 90.00, 90.00 degrees
Space group Fm-3m (No. 225)
One atom of each set of equivalent atoms:
Cs 0.000 0.000 0.000 (multiplicity 4)
Sr 0.000 0.000 0.500 (multiplicity 4)
Sr 0.250 0.250 0.250 (multiplicity 8)

Summary:
total magnetic moment = 0.000 μB per cell
D(E_F) = 0.962 states/eV/atom
formation energy = 0.158 eV/atom
excess energy over the best structure of this formula in the dataset = 20 meV/atom



A plane-wave DFT calculation with PBE-GGA was carried out for a relaxed structure of Sr2AcTe.

Cell lengths 4.2417, 4.2417, 36.5459 Å; angles 90.00, 90.00, 120.00 degrees
Space group R-3m (No. 166, hexagonal axes)
One atom of each set of equivalent atoms:
Sr 0.0000 0.0000 0.1081 (multiplicity 6)
Ac 0.0000 0.0000 0.0000 (multiplicity 3)
Te 0.0000 0.0000 0.5000 (multiplicity 3)

Summary:
total magnetic moment = 0.009 μB per cell
D(E_F) = 0.968 states/eV/atom
formation energy (no corrections) = -12.379 kcal/mol of atoms
excess energy over the best structure of this formula in the dataset = 133 meV/atom



A plane-wave DFT calculation with PBE-GGA was carried out for a relaxed structure of AcPr5Nd2.

Cell lengths 7.470, 14.951, 5.297 Å; angles 90.00, 90.00, 90.00 degrees
Space group Pbam (No. 55)
One atom of each set of equivalent atoms:
Ac 0.000 0.000 0.000 (multiplicity 2)
Pr 0.000 0.252 0.000 (multiplicity 4)
Pr 0.000 0.500 0.000 (multiplicity 2)
Pr 0.248 0.373 0.500 (multiplicity 4)
Nd 0.249 0.627 0.500 (multiplicity 4)

Summary:
total magnetic moment = 0.000 μB per cell
D(E_F) = 1.690 states/eV/atom
formation energy = 0.018 eV/atom
excess energy over the best structure of this formula in the dataset = 0 meV/atom



A plane-wave DFT calculation with PBE-GGA was carried out for a relaxed structure of Pm2B3PdPt12.

Cell lengths 7.9851, 7.9851, 17.3660 Å; angles 90.00, 90.00, 120.00 degrees
Space group R-3m (No. 166, hexagonal axes)
One atom of each set of equivalent atoms:
Pm 0.0000 0.0000 0.1033 (multiplicity 6)
B 0.0000 0.5000 0.0000 (multiplicity 9)
Pd 0.0000 0.0000 0.5000 (multiplicity 3)
Pt 0.0125 0.5062 0.8783 (multiplicity 18)
Pt 0.0581 0.5291 0.3535 (multiplicity 18)

Summary:
total magnetic moment = 0.000 μB per cell
D(E_F) = 0.449 states/eV/atom
formation energy = -0.327 eV/atom



A plane-wave DFT calculation with PBE-GGA was carried out for a relaxed structure of SrTcAs2.

Cell lengths 6.868, 6.868, 6.868 Å; angles 90.00, 90.00, 90.00 degrees
Space group F-43m (No. 216)
One atom of each set of equivalent atoms:
Sr 0.000 0.000 0.000 (multiplicity 4)
Tc 0.250 0.250 0.250 (multiplicity 4)
As 0.000 0.000 0.500 (multiplicity 4)
As 0.250 0.250 0.750 (multiplicity 4)

Summary:
total magnetic moment = 4.083 μB per cell
D(E_F) = 1.062 states/eV/atom
formation energy = 0.473 eV/atom
excess energy over the best structure of this formula in the dataset = 917 meV/atom



A plane-wave DFT calculation with PBE-GGA was carried out for a relaxed structure of K2TlGa4Sn3.

Cell lengths 4.948, 4.948, 11.443 Å; angles 90.00, 90.00, 90.00 degrees
Space group P-4m2 (No. 115)
One atom of each set of equivalent atoms:
K 0.000 0.500 0.243 (multiplicity 2)
Tl 0.000 0.000 0.500 (multiplicity 1)
Ga 0.000 0.000 0.000 (multiplicity 1)
Ga 0.000 0.500 0.634 (multiplicity 2)
Ga 0.500 0.500 0.000 (multiplicity 1)
Sn 0.000 0.500 0.874 (multiplicity 2)
Sn 0.500 0.500 0.500 (multiplicity 1)

Summary:
total magnetic moment = 0.000 μB per cell
D(E_F) = 0.307 states/eV/atom
formation energy = -0.146 eV/atom